VASP calculation (GGA+U) on a geometry-optimized CdCoTc2O8 structure.

Values from the calculation:
As for the total energy: -79.437 eV/f.u. For the volume, the calculation gives 14.15 Å³ per atom.

a b c (Å): 6.9903 6.9903 6.9478
angles (deg): 90.00 90.00 90.00
With the nearest neighbours (Å) after each atom.
Space group I-4m2 (No. 119)
Unique sites:
1 Cd 0.0000 0.0000 0.0000 x2  4 O 2.20
2 Co 0.0000 0.5000 0.7500 x2  4 O 2.17
3 Tc 0.0000 0.0000 0.5000 x2  4 O 1.79
4 Tc 0.0000 0.5000 0.2500 x2  4 O 1.77
5 O 0.0000 0.2054 0.6530 x8  1 Tc 1.79
6 O 0.0000 0.3004 0.0940 x8  1 Tc 1.77